# 1
A relaxed HfCdHg2 crystal. Source: Alexandria via LeMat-Bulk, functional PBE-GGA.

Cell lengths 7.8098, 7.8098, 6.3437 Å; angles 52.01, 52.01, 90.00 degrees
Closest atoms and distances in Å follow each position.
Fractional coordinates of all 8 atoms:
1 Hg 0.3750 0.3744 0.7500  2 Hf 2.87, 2 Cd 2.87, 2 Hg 3.12
2 Hf 0.7500 0.2500 0.5000  4 Hg 2.87, 2 Cd 3.12
3 Hg 0.6256 0.1250 0.2500  2 Hf 2.87, 2 Cd 2.87, 2 Hg 3.12
4 Hg 0.1244 0.6250 0.2500  2 Hf 2.87, 2 Cd 2.87, 2 Hg 3.12
5 Cd 0.5000 0.5000 0.0000  4 Hg 2.87, 2 Hf 3.12
6 Hg 0.8750 0.8756 0.7500  2 Hf 2.87, 2 Cd 2.87, 2 Hg 3.12
7 Cd 0.2500 0.7500 0.5000  4 Hg 2.87, 2 Hf 3.12
8 Hf 0.0000 0.0000 0.0000  4 Hg 2.87, 2 Cd 3.12

As for the symmetry: I-42d, No. 122. The value obtained for the calculated formation energy is 0.238 eV/atom.

# 2
A relaxed Mg3Ta crystal. Source: Alexandria via LeMat-Bulk, functional PBE-GGA.

Cell lengths 5.4850, 5.4850, 5.4850 Å; angles 90.00, 90.00, 90.00 degrees
Closest atoms and distances in Å follow each position.
Fractional coordinates of all 8 atoms:
1 Mg 0.5000 0.0000 0.7500  2 Mg 2.74, 4 Ta 3.07
2 Mg 0.0000 0.7500 0.5000  2 Mg 2.74, 4 Ta 3.07
3 Ta 0.5000 0.5000 0.5000  12 Mg 3.07
4 Mg 0.0000 0.2500 0.5000  2 Mg 2.74, 4 Ta 3.07
5 Ta 0.0000 0.0000 0.0000  12 Mg 3.07
6 Mg 0.7500 0.5000 0.0000  2 Mg 2.74, 4 Ta 3.07
7 Mg 0.5000 0.0000 0.2500  2 Mg 2.74, 4 Ta 3.07
8 Mg 0.2500 0.5000 0.0000  2 Mg 2.74, 4 Ta 3.07

As for the symmetry: Pm-3n, No. 223. The value obtained for the calculated formation energy is 0.576 eV/atom.

# 3
A relaxed MgCoCu2 crystal. Source: Alexandria via LeMat-Bulk, functional PBE-GGA.

Cell lengths 4.5195, 4.5195, 4.5195 Å; angles 130.42, 130.42, 72.74 degrees
Closest atoms and distances in Å follow each position.
Fractional coordinates of all 4 atoms:
1 Mg 0.2500 0.7500 0.5000  8 Cu 2.63, 4 Co 2.68
2 Cu 0.5000 0.5000 0.0000  4 Mg 2.63, 4 Co 2.63, 4 Cu 2.68
3 Co 0.7500 0.2500 0.5000  8 Cu 2.63, 4 Mg 2.68
4 Cu 0.0000 0.0000 0.0000  4 Co 2.63, 4 Mg 2.63, 4 Cu 2.68

As for the symmetry: I4/mmm, No. 139. The value obtained for the calculated formation energy is 0.110 eV/atom.

# 4
A relaxed Mn6C crystal. Source: Alexandria via LeMat-Bulk, functional PBE-GGA.

Cell lengths 7.5134, 7.5134, 7.5134 Å; angles 60.00, 60.00, 60.00 degrees
Closest atoms and distances in Å follow each position.
Fractional coordinates of all 28 atoms:
1 Mn 0.9923 0.3359 0.3359  9 Mn 2.32-2.58
2 Mn 0.9141 0.9141 0.9141  9 Mn 2.32-2.58
3 Mn 0.2577 0.9141 0.9141  9 Mn 2.32-2.58
4 Mn 0.6890 0.3110 0.3110  2 C 2.00
5 Mn 0.3359 0.3359 0.3359  9 Mn 2.32-2.58
6 Mn 0.3110 0.6890 0.6890  2 C 2.00
7 C 0.1250 0.6250 0.6250  6 Mn 2.00
8 Mn 0.3110 0.3110 0.6890  2 C 2.00
9 C 0.6250 0.1250 0.6250  6 Mn 2.00
10 Mn 0.9390 0.5610 0.5610  2 C 2.00
11 Mn 0.1250 0.1250 0.1250  6 Mn 2.32
12 Mn 0.6250 0.1250 0.1250  6 Mn 2.32
13 Mn 0.1250 0.6250 0.1250  6 Mn 2.32
14 Mn 0.9390 0.9390 0.5610  2 C 2.00
15 C 0.6250 0.6250 0.6250  6 Mn 2.00
16 Mn 0.9141 0.2577 0.9141  9 Mn 2.32-2.58
17 Mn 0.6890 0.3110 0.6890  2 C 2.00
18 Mn 0.3110 0.6890 0.3110  2 C 2.00
19 Mn 0.3359 0.9923 0.3359  9 Mn 2.32-2.58
20 Mn 0.9141 0.9141 0.2577  9 Mn 2.32-2.58
21 Mn 0.3359 0.3359 0.9923  9 Mn 2.32-2.58
22 Mn 0.9390 0.5610 0.9390  2 C 2.00
23 Mn 0.6890 0.6890 0.3110  2 C 2.00
24 Mn 0.5610 0.5610 0.9390  2 C 2.00
25 Mn 0.5610 0.9390 0.9390  2 C 2.00
26 C 0.6250 0.6250 0.1250  6 Mn 2.00
27 Mn 0.1250 0.1250 0.6250  6 Mn 2.32
28 Mn 0.5610 0.9390 0.5610  2 C 2.00

As for the symmetry: Fd-3m, No. 227. The value obtained for the calculated formation energy is 0.044 eV/atom.

# 5
A relaxed LaYBiO2 crystal. Source: Alexandria via LeMat-Bulk, functional PBE-GGA.

Cell lengths 3.9913, 3.9913, 7.5360 Å; angles 105.36, 105.36, 90.00 degrees
Closest atoms and distances in Å follow each position.
Fractional coordinates of all 5 atoms:
1 Bi 0.4934 0.4934 0.9869  4 Y 3.62, 4 La 3.70, 4 O 3.88, 4 Bi 3.99
2 Y 0.8316 0.8316 0.6631  4 O 2.26
3 La 0.1651 0.1651 0.3301  4 O 2.36
4 O 0.2550 0.7550 0.5099  2 Y 2.26, 2 La 2.36
5 O 0.7550 0.2550 0.5099  2 Y 2.26, 2 La 2.36

As for the symmetry: I4mm, No. 107. Its formation energy (no corrections) is -13.28 eV/f.u.

# 6
A relaxed PmYIrBr crystal. Source: Alexandria via LeMat-Bulk, functional PBE-GGA.

Cell lengths 4.1004, 4.0999, 8.0896 Å; angles 90.01, 104.68, 120.01 degrees
Closest atoms and distances in Å follow each position.
Fractional coordinates of all 4 atoms:
1 Br 0.9615 0.3791 0.3548  3 Y 3.28, 3 Pm 3.45
2 Y 0.0982 0.9471 0.0607  3 Ir 2.77
3 Pm 0.5108 0.1531 0.6797  3 Ir 2.81
4 Ir 0.3074 0.5515 0.8745  3 Y 2.77, 3 Pm 2.81

As for the symmetry: R3m, No. 160. Its formation energy (no corrections) is -4.28 eV/f.u.

# 7
A relaxed Rb5BiTe4 crystal. Source: Alexandria via LeMat-Bulk, functional PBE-GGA.

Cell lengths 5.5511, 8.5762, 11.9851 Å; angles 124.45, 103.39, 90.00 degrees
Closest atoms and distances in Å follow each position.
Fractional coordinates of all 10 atoms:
1 Rb 0.1554 0.8174 0.3108  5 Te 3.58-3.90
2 Rb 0.8446 0.1826 0.6892  5 Te 3.58-3.90
3 Rb 0.5000 0.5000 0.0000  4 Te 3.65
4 Rb 0.8143 0.6360 0.6287  3 Te 3.39-3.47, 2 Rb 3.74
5 Te 0.9782 0.7378 0.9564  4 Rb 3.39-3.78, 2 Bi 3.42
6 Te 0.3404 0.9122 0.6809  1 Bi 3.34, 4 Rb 3.47-3.58
7 Bi 0.5000 0.0000 0.0000  6 Te 3.34-3.42
8 Rb 0.1857 0.3640 0.3713  3 Te 3.39-3.47, 2 Rb 3.74
9 Te 0.0218 0.2622 0.0436  4 Rb 3.39-3.78, 2 Bi 3.42
10 Te 0.6596 0.0878 0.3191  1 Bi 3.34, 4 Rb 3.47-3.58

As for the symmetry: C2/m, No. 12. Its formation energy (no corrections) is -7.24 eV/f.u.

# 8
A relaxed RbTc2S crystal. Source: Alexandria via LeMat-Bulk, functional PBE-GGA.

Cell lengths 4.8403, 4.8403, 9.1269 Å; angles 74.62, 74.62, 90.00 degrees
Closest atoms and distances in Å follow each position.
Fractional coordinates of all 8 atoms:
1 Rb 0.7500 0.2500 0.5000  4 S 3.42, 8 Tc 3.43
2 Tc 0.3750 0.1250 0.2500  2 Tc 2.42, 2 S 2.44
3 S 0.5000 0.5000 0.0000  4 Tc 2.44
4 Tc 0.3750 0.6250 0.7500  2 Tc 2.42, 2 S 2.44
5 Rb 0.0000 0.0000 0.0000  4 S 3.42, 8 Tc 3.43
6 S 0.2500 0.7500 0.5000  4 Tc 2.44
7 Tc 0.3750 0.6250 0.2500  2 Tc 2.42, 2 S 2.44
8 Tc 0.8750 0.6250 0.7500  2 Tc 2.42, 2 S 2.44

As for the symmetry: I4_1/amd, No. 141. Its formation energy (no corrections) is 2.73 eV/f.u.